VASP calculation (PBEsol) on BeCr2Si after structural relaxation.

a b c (Å): 3.8817 3.8817 3.8817
angles (deg): 60.00 60.00 60.00
Fractional positions:
Cr  0.0000  0.0000  0.0000
Cr  0.7500  0.7500  0.7500
Si  0.5000  0.5000  0.5000
Be  0.2500  0.2500  0.2500

Properties
E_form (uncorrected)   -198 meV/atom
DOS at the Fermi energy   1.034 states/eV per cell